1.
# PBE-GGA Sr2AgSb3Pt4, optimized geometry
# Formation energy without anion corrections   -719 meV/atom
# Crystal system   tetragonal
# Size of the total moment   0.0 μB per cell
# Final energy   -4.99 eV per atom
data_Sr2AgSb3Pt4
_space_group_name_H-M_alt 'P -4 m 2'
_space_group_IT_number 115
_space_group_name_Hall 'P -4 -2'
_cell_length_a 4.6865
_cell_length_b 4.6865
_cell_length_c 10.5994
_cell_angle_alpha 90.00
_cell_angle_beta 90.00
_cell_angle_gamma 90.00
loop_
_atom_site_label
_atom_site_type_symbol
_atom_site_fract_x
_atom_site_fract_y
_atom_site_fract_z
Sr1 Sr 0.0000 0.5000 0.2485
Ag1 Ag 0.5000 0.5000 0.0000
Sb1 Sb 0.0000 0.0000 0.0000
Sb2 Sb 0.0000 0.5000 0.6261
Pt1 Pt 0.0000 0.0000 0.5000
Pt2 Pt 0.0000 0.5000 0.8703
Pt3 Pt 0.5000 0.5000 0.5000

2.
# PBE-GGA Sm3TmHg12, optimized geometry
# Crystal system   tetragonal
# Size of the total moment   0.0 μB per cell
# Energy relative to the elements   -0.3253 eV per atom
# Final energy   -1.72 eV per atom
data_Sm3TmHg12
_space_group_name_H-M_alt 'P 4/m m m'
_space_group_IT_number 123
_space_group_name_Hall '-P 4 2'
_cell_length_a 4.5665
_cell_length_b 4.5665
_cell_length_c 19.2470
_cell_angle_alpha 90.00
_cell_angle_beta 90.00
_cell_angle_gamma 90.00
loop_
_atom_site_label
_atom_site_type_symbol
_atom_site_fract_x
_atom_site_fract_y
_atom_site_fract_z
Sm1 Sm 0.0000 0.0000 0.0000
Sm2 Sm 0.0000 0.0000 0.2529
Tm1 Tm 0.0000 0.0000 0.5000
Hg1 Hg 0.0000 0.5000 0.1261
Hg2 Hg 0.0000 0.5000 0.3784
Hg3 Hg 0.5000 0.5000 0.0000
Hg4 Hg 0.5000 0.5000 0.2519
Hg5 Hg 0.5000 0.5000 0.5000

3.
# PBE-GGA SrPtS, optimized geometry
# Formation energy without anion corrections   -1174 meV/atom
# Crystal system   monoclinic
# Size of the total moment   0.0 μB per cell
# Final energy   -5.12 eV per atom
data_SrPtS
_space_group_name_H-M_alt 'C 1 m 1'
_space_group_IT_number 8
_space_group_name_Hall 'C -2y'
_cell_length_a 10.5147
_cell_length_b 3.8652
_cell_length_c 7.2583
_cell_angle_alpha 90.00
_cell_angle_beta 106.80
_cell_angle_gamma 90.00
loop_
_atom_site_label
_atom_site_type_symbol
_atom_site_fract_x
_atom_site_fract_y
_atom_site_fract_z
Sr1 Sr 0.0000 0.0000 0.0000
Sr2 Sr 0.1477 0.5000 0.5715
Pt1 Pt 0.3366 0.0000 0.2047
Pt2 Pt 0.4090 0.5000 0.4584
S1 S 0.2242 0.5000 0.0190
S2 S 0.3854 0.0000 0.6634

4.
# PBE-GGA Tb2LuN, optimized geometry
# Formation energy without anion corrections   -642 meV/atom
# Crystal system   trigonal
# Size of the total moment   1.9 μB per cell
# Final energy   -6.17 eV per atom
data_Tb2LuN
_space_group_name_H-M_alt 'R -3 m'
_space_group_IT_number 166
_space_group_name_Hall '-R 3 2"'
_cell_length_a 3.4654
_cell_length_b 3.4654
_cell_length_c 27.9293
_cell_angle_alpha 90.00
_cell_angle_beta 90.00
_cell_angle_gamma 120.00
loop_
_atom_site_label
_atom_site_type_symbol
_atom_site_fract_x
_atom_site_fract_y
_atom_site_fract_z
Tb1 Tb 0.0000 0.0000 0.1189
Lu1 Lu 0.0000 0.0000 0.0000
N1 N 0.0000 0.0000 0.5000

5.
# PBE-GGA LiScSiNi, optimized geometry
# Formation energy without anion corrections   -635 meV/atom
# Crystal system   cubic
# Size of the total moment   0.0 μB per cell
# Final energy   -5.50 eV per atom
data_LiScSiNi
_space_group_name_H-M_alt 'F -4 3 m'
_space_group_IT_number 216
_space_group_name_Hall 'F -4 2 3'
_cell_length_a 5.9791
_cell_length_b 5.9791
_cell_length_c 5.9791
_cell_angle_alpha 90.00
_cell_angle_beta 90.00
_cell_angle_gamma 90.00
loop_
_atom_site_label
_atom_site_type_symbol
_atom_site_fract_x
_atom_site_fract_y
_atom_site_fract_z
Li1 Li 0.0000 0.0000 0.0000
Sc1 Sc 0.2500 0.2500 0.2500
Si1 Si 0.2500 0.2500 0.7500
Ni1 Ni 0.0000 0.0000 0.5000

6.
# PBE-GGA PrBiSeO2, optimized geometry
# Formation energy without anion corrections   -1971 meV/atom
# Crystal system   monoclinic
# Size of the total moment   0.0 μB per cell
# Final energy   -6.38 eV per atom
data_PrBiSeO2
_space_group_name_H-M_alt 'P 1 21/m 1'
_space_group_IT_number 11
_space_group_name_Hall '-P 2yb'
_cell_length_a 6.7501
_cell_length_b 4.1597
_cell_length_c 7.8827
_cell_angle_alpha 90.00
_cell_angle_beta 106.38
_cell_angle_gamma 90.00
loop_
_atom_site_label
_atom_site_type_symbol
_atom_site_fract_x
_atom_site_fract_y
_atom_site_fract_z
Pr1 Pr 0.1910 0.2500 0.4259
Bi1 Bi 0.1848 0.2500 0.9156
Se1 Se 0.4417 0.7500 0.7232
O1 O 0.0128 0.7500 0.8881
O2 O 0.0182 0.7500 0.3686

7.
# PBE-GGA TaSbTe2H, optimized geometry
# Distance to the lowest polymorph of the same formula   218 meV/atom
# Crystal system   tetragonal
# Size of the total moment   0.5 μB per cell
# Final energy   -4.47 eV per atom
data_TaSbTe2H
_space_group_name_H-M_alt 'P 4/m m m'
_space_group_IT_number 123
_space_group_name_Hall '-P 4 2'
_cell_length_a 5.4159
_cell_length_b 5.4159
_cell_length_c 5.4226
_cell_angle_alpha 90.00
_cell_angle_beta 90.00
_cell_angle_gamma 90.00
loop_
_atom_site_label
_atom_site_type_symbol
_atom_site_fract_x
_atom_site_fract_y
_atom_site_fract_z
Ta1 Ta 0.0000 0.0000 0.0000
Sb1 Sb 0.0000 0.0000 0.5000
Te1 Te 0.0000 0.5000 0.0000
H1 H 0.5000 0.5000 0.5000

8.
# PBE-GGA Be4OsBr, optimized geometry
# Formation energy without anion corrections   511 meV/atom
# Crystal system   cubic
# Size of the total moment   0.0 μB per cell
# Final energy   -4.12 eV per atom
data_Be4OsBr
_space_group_name_H-M_alt 'F -4 3 m'
_space_group_IT_number 216
_space_group_name_Hall 'F -4 2 3'
_cell_length_a 6.4224
_cell_length_b 6.4224
_cell_length_c 6.4224
_cell_angle_alpha 90.00
_cell_angle_beta 90.00
_cell_angle_gamma 90.00
loop_
_atom_site_label
_atom_site_type_symbol
_atom_site_fract_x
_atom_site_fract_y
_atom_site_fract_z
Be1 Be 0.1219 0.1219 0.3781
Os1 Os 0.2500 0.2500 0.7500
Br1 Br 0.0000 0.0000 0.0000

9.
# PBE-GGA Li4HoLu, optimized geometry
# Crystal system   cubic
# Size of the total moment   0.0 μB per cell
# Energy relative to the elements   0.1225 eV per atom
# Final energy   -2.67 eV per atom
data_Li4HoLu
_space_group_name_H-M_alt 'F -4 3 m'
_space_group_IT_number 216
_space_group_name_Hall 'F -4 2 3'
_cell_length_a 8.1921
_cell_length_b 8.1921
_cell_length_c 8.1921
_cell_angle_alpha 90.00
_cell_angle_beta 90.00
_cell_angle_gamma 90.00
loop_
_atom_site_label
_atom_site_type_symbol
_atom_site_fract_x
_atom_site_fract_y
_atom_site_fract_z
Li1 Li 0.1253 0.1253 0.1253
Ho1 Ho 0.2500 0.2500 0.7500
Lu1 Lu 0.0000 0.0000 0.5000

10.
# PBE-GGA CuPt3Rh3, optimized geometry
# Crystal system   orthorhombic
# Size of the total moment   0.0 μB per cell
# Energy relative to the elements   0.1681 eV per atom
# Final energy   -6.16 eV per atom
data_CuPt3Rh3
_space_group_name_H-M_alt 'C m m m'
_space_group_IT_number 65
_space_group_name_Hall '-C 2 2'
_cell_length_a 7.5378
_cell_length_b 7.7836
_cell_length_c 7.5402
_cell_angle_alpha 90.00
_cell_angle_beta 90.00
_cell_angle_gamma 90.00
loop_
_atom_site_label
_atom_site_type_symbol
_atom_site_fract_x
_atom_site_fract_y
_atom_site_fract_z
Cu1 Cu 0.0000 0.2450 0.0000
Pt1 Pt 0.0000 0.2466 0.5000
Pt2 Pt 0.2357 0.0000 0.0000
Pt3 Pt 0.2438 0.0000 0.5000
Rh1 Rh 0.0000 0.5000 0.2399
Rh2 Rh 0.2500 0.2500 0.2453

11.
# PBE-GGA Tm12Tl3H5, optimized geometry
# Crystal system   cubic
# Size of the total moment   0.0 μB per cell
# Final energy   -4.07 eV per atom
data_Tm12Tl3H5
_space_group_name_H-M_alt 'I a -3 d'
_space_group_IT_number 230
_space_group_name_Hall '-I 4bd 2c 3'
_cell_length_a 15.3891
_cell_length_b 15.3891
_cell_length_c 15.3891
_cell_angle_alpha 90.00
_cell_angle_beta 90.00
_cell_angle_gamma 90.00
loop_
_atom_site_label
_atom_site_type_symbol
_atom_site_fract_x
_atom_site_fract_y
_atom_site_fract_z
Tm1 Tm 0.0431 0.0535 0.6500
Tl1 Tl 0.0000 0.2500 0.1250
H1 H 0.0000 0.0000 0.0000
H2 H 0.0000 0.2500 0.3750

12.
# PBE-GGA Rb2Tl3As2, optimized geometry
# Crystal system   monoclinic
# Size of the total moment   0.0 μB per cell
# Energy relative to the elements   -0.1793 eV per atom
# Final energy   -2.80 eV per atom
data_Rb2Tl3As2
_space_group_name_H-M_alt 'C 1 2/m 1'
_space_group_IT_number 12
_space_group_name_Hall '-C 2y'
_cell_length_a 12.9947
_cell_length_b 4.6610
_cell_length_c 8.5913
_cell_angle_alpha 90.00
_cell_angle_beta 113.73
_cell_angle_gamma 90.00
loop_
_atom_site_label
_atom_site_type_symbol
_atom_site_fract_x
_atom_site_fract_y
_atom_site_fract_z
Rb1 Rb 0.1358 0.0000 0.2825
Tl1 Tl 0.0000 0.5000 0.5000
Tl2 Tl 0.1290 0.5000 0.9385
As1 As 0.1626 0.0000 0.7426

Question: Among the records above, which one has the highest size of the total moment?
Answer: Tb2LuN